The following is a PBE-GGA calculation of a geometry-optimized Rb3Ca3IrO8 structure, from Alexandria.

**DFT total energy**: -5.62 eV/atom
**Space-group type**: R-3m, No. 166
**Uncorrected formation energy**: -1.794 eV/atom

Cell and atoms, written as extended XYZ:
```
15
Lattice="3.453 1.994 6.536 -3.453 1.994 6.536 0.000 -3.987 6.536" Properties=species:S:1:pos:R:3 pbc="T T T"
Rb -1.726 -0.997 6.536
Rb -1.726 0.997 13.073
Rb 0.000 1.994 6.536
Ca -3.453 0.000 9.805
Ca -1.726 0.997 3.268
Ca 1.726 0.997 3.268
Ir 0.000 0.000 9.805
O 0.000 0.000 4.402
O -1.413 -0.816 10.890
O 0.000 -1.631 8.719
O -1.413 0.816 8.719
O 1.413 -0.816 10.890
O 0.000 1.631 10.890
O 1.413 0.816 8.719
O 0.000 0.000 15.207
```


The following is a PBE-GGA calculation of a geometry-optimized Rb2Ca2IrO6 structure, from Alexandria.

**DFT total energy**: -5.82 eV/atom
**Space-group type**: C2/m, No. 12
**Uncorrected formation energy**: -1.768 eV/atom

Cell and atoms, written as extended XYZ:
```
11
Lattice="2.943 -4.971 0.000 2.943 4.971 0.000 -1.939 0.000 6.557" Properties=species:S:1:pos:R:3 pbc="T T T"
Rb 2.943 3.284 0.000
Rb 2.943 -3.284 0.000
Ca 1.973 1.630 3.278
Ca 1.973 -1.630 3.278
Ir -0.970 0.000 3.278
O -0.137 1.433 4.374
O 0.679 0.000 2.168
O -0.137 -1.433 4.374
O 4.083 1.433 2.183
O 3.268 0.000 4.388
O 4.083 -1.433 2.183
```


The following is a PBE-GGA calculation of a geometry-optimized Rb3Ca2IrO6 structure, from Alexandria.

**DFT total energy**: -5.49 eV/atom
**Space-group type**: C2/m, No. 12
**Uncorrected formation energy**: -1.693 eV/atom

Cell and atoms, written as extended XYZ:
```
12
Lattice="2.972 -5.143 0.000 2.972 5.143 0.000 -1.977 0.000 6.392" Properties=species:S:1:pos:R:3 pbc="T T T"
Rb 0.000 0.000 0.000
Rb 2.972 1.729 0.000
Rb 2.972 -1.729 0.000
Ca 1.984 3.431 3.196
Ca 1.984 -3.431 3.196
Ir 1.984 0.000 3.196
O 1.119 1.489 2.084
O 0.259 0.000 4.326
O 1.119 -1.489 2.084
O 2.848 1.489 4.309
O 3.709 0.000 2.067
O 2.848 -1.489 4.309
```